The following is a PBE calculation of a relaxed AlPd crystal, from Alexandria.

total energy	-83.3	eV for the cell shown
crystal system	orthorhombic
space group	No. 19
formation enthalpy at 0 K	-1.5	eV per formula unit

Lattice parameters (Å, degrees): 5.111 6.645 7.320 90.00 90.00 90.00
Atoms (fractional coordinates):
Al (0.157, 0.006, 0.359)
Al (0.181, 0.596, 0.786)
Al (0.319, 0.404, 0.286)
Al (0.343, 0.994, 0.859)
Al (0.657, 0.494, 0.641)
Al (0.681, 0.904, 0.214)
Al (0.819, 0.096, 0.714)
Al (0.843, 0.506, 0.141)
Pd (0.008, 0.650, 0.454)
Pd (0.247, 0.740, 0.110)
Pd (0.253, 0.260, 0.610)
Pd (0.492, 0.350, 0.954)
Pd (0.508, 0.850, 0.546)
Pd (0.747, 0.760, 0.890)
Pd (0.753, 0.240, 0.390)
Pd (0.992, 0.150, 0.046)